Record 1
An optimized crystal structure of Li2ReN3, computed with PBE-GGA.

V ... 12.74 Å³ per atom
Electronic total energy ... -87.29 eV for the cell shown
Raw formation energy ... -399 meV/atom

a b c (Å): 5.692 5.380 5.692
angles (deg): 90.00 118.73 90.00
Atoms (fractional coordinates):
Li: 0.174 0.448 0.511
Li: 0.489 0.948 0.826
Li: 0.511 0.448 0.174
Li: 0.826 0.948 0.489
Re: 0.158 0.952 0.158
Re: 0.842 0.452 0.842
N: 0.167 0.048 0.460
N: 0.540 0.548 0.833
N: 0.460 0.048 0.167
N: 0.833 0.548 0.540
N: 0.142 0.597 0.142
N: 0.858 0.097 0.858

Record 2
An optimized crystal structure of LiReS2N, computed with PBE-GGA.

V ... 12.60 Å³ per atom
Electronic total energy ... -24.00 eV for the cell shown
Raw formation energy ... 1388 meV/atom
Polymorph energy (0 for the lowest one) ... 1481 meV per atom

a b c (Å): 4.363 4.363 3.309
angles (deg): 90.00 90.00 90.00
Atoms (fractional coordinates):
Re: 0.500 0.500 0.500
S: 0.000 0.500 0.000
S: 0.500 0.000 0.000
Li: 0.000 0.000 0.000
N: 0.000 0.000 0.500

Record 3
An optimized crystal structure of LiReS2N, computed with PBE-GGA.

V ... 17.25 Å³ per atom
Electronic total energy ... -31.40 eV for the cell shown
Raw formation energy ... -93 meV/atom
Polymorph energy (0 for the lowest one) ... 0 meV per atom

a b c (Å): 4.788 4.788 3.762
angles (deg): 90.00 90.00 90.00
Atoms (fractional coordinates):
Re: 0.000 0.000 0.000
S: 0.000 0.500 0.000
S: 0.500 0.000 0.000
Li: 0.500 0.500 0.500
N: 0.000 0.000 0.500

Record 4
An optimized crystal structure of Li2ReSN, computed with PBE-GGA.

V ... 24.05 Å³ per atom
Electronic total energy ... -22.30 eV for the cell shown
Raw formation energy ... 1286 meV/atom

a b c (Å): 5.255 4.353 5.255
angles (deg): 90.00 90.00 90.00
Each line ends with the local moment (μB).
Atoms (fractional coordinates):
Re: 0.000 0.000 0.000  -0.86
S: 0.000 0.500 0.000  0.06
Li: 0.000 0.000 0.500  0.00
Li: 0.500 0.000 0.000  -0.01
N: 0.500 0.500 0.500  1.62

Record 5
An optimized crystal structure of Li2ScReN4, computed with PBE-GGA.

V ... 13.33 Å³ per atom
Electronic total energy ... -124.16 eV for the cell shown
Raw formation energy ... -771 meV/atom

a b c (Å): 6.559 6.559 7.731
angles (deg): 126.18 126.18 62.25
Atoms (fractional coordinates):
Li: 0.572 0.072 0.072
Li: 0.428 0.928 0.428
Li: 0.000 0.000 0.571
Li: 0.500 0.500 0.929
Sc: 0.061 0.561 0.061
Sc: 0.939 0.439 0.439
Re: 0.500 0.500 0.580
Re: 0.000 0.000 0.920
N: 0.211 0.758 0.034
N: 0.742 0.289 0.466
N: 0.258 0.712 0.434
N: 0.788 0.242 0.066
N: 0.666 0.684 0.903
N: 0.816 0.834 0.597
N: 0.334 0.316 0.552
N: 0.184 0.166 0.948

Record 6
An optimized crystal structure of LiReSeN2, computed with PBE-GGA.

V ... 11.78 Å³ per atom
Electronic total energy ... -24.63 eV for the cell shown
Raw formation energy ... 1974 meV/atom
Polymorph energy (0 for the lowest one) ... 1925 meV per atom

a b c (Å): 3.674 3.674 4.364
angles (deg): 90.00 90.00 90.00
Atoms (fractional coordinates):
Re: 0.500 0.500 0.500
Li: 0.000 0.000 0.000
Se: 0.000 0.000 0.500
N: 0.000 0.500 0.000
N: 0.500 0.000 0.000

What is the raw formation energy in the fourth record?
1286 meV/atom

Among the records above, which one has the highest V?
Li2ReSN